[1]
# CaNdSmMg (PBE, optimized geometry)
# - E above lowest polymorph: 0.058 eV per atom
# - DFT formation energy: 0.0374 eV per atom
data_CaNdSmMg
_cell_length_a 8.0344
_cell_length_b 8.0344
_cell_length_c 8.0344
_cell_angle_alpha 90.00
_cell_angle_beta 90.00
_cell_angle_gamma 90.00
_space_group_name_H-M_alt 'F -4 3 m'
_space_group_IT_number 216
_space_group_name_Hall 'F -4 2 3'
loop_
_atom_site_label
_atom_site_type_symbol
_atom_site_fract_x
_atom_site_fract_y
_atom_site_fract_z
Ca1 Ca 0.0000 0.0000 0.0000
Nd1 Nd 0.2500 0.2500 0.2500
Sm1 Sm 0.2500 0.2500 0.7500
Mg1 Mg 0.0000 0.0000 0.5000

---

[2]
# CeDyU (PBE, optimized geometry)
# - E above lowest polymorph: 0.020 eV per atom
# - DFT formation energy: 0.3168 eV per atom
data_CeDyU
_cell_length_a 12.7982
_cell_length_b 4.7985
_cell_length_c 5.3259
_cell_angle_alpha 90.00
_cell_angle_beta 91.74
_cell_angle_gamma 90.00
_space_group_name_H-M_alt 'C 1 2/m 1'
_space_group_IT_number 12
loop_
_space_group_symop_operation_xyz
'x,y,z'
'-x,-y,-z'
'-x,y,-z'
'x,-y,z'
'x+1/2,y+1/2,z'
'-x+1/2,-y+1/2,-z'
'-x+1/2,y+1/2,-z'
'x+1/2,-y+1/2,z'
loop_
_atom_site_label
_atom_site_type_symbol
_atom_site_fract_x
_atom_site_fract_y
_atom_site_fract_z
Ce1 Ce 0.1487 0.0000 0.3101
Dy1 Dy 0.0778 0.5000 0.7544
U1 U 0.2434 0.5000 0.2242

---

Among the records above, which one has the lowest DFT formation energy? CaNdSmMg